Computed, not measured: a geometry-optimized Pm2AsPPt6 structure at the PBE level of DFT.

Cell: 5.591 8.478 8.342 Å, 90.00 90.00 90.00°
Fractional coordinates of all 20 atoms:
Pm 0.500 0.738 0.254
Pm 0.000 0.262 0.754
Pm 0.500 0.738 0.746
Pm 0.000 0.262 0.246
As 0.000 0.713 0.500
As 0.500 0.287 0.000
P 0.500 0.254 0.500
P 0.000 0.746 0.000
Pt 0.500 0.127 0.247
Pt 0.500 0.127 0.753
Pt 0.000 0.873 0.253
Pt 0.000 0.873 0.747
Pt 0.248 0.008 0.500
Pt 0.752 0.008 0.500
Pt 0.254 0.476 0.500
Pt 0.746 0.476 0.500
Pt 0.754 0.524 0.000
Pt 0.246 0.524 0.000
Pt 0.252 0.992 0.000
Pt 0.748 0.992 0.000

Computed properties:
As for the electronic total energy: -6.48 eV/atom. As for the symmetry: Pmmn. For the volume, the calculation gives 197.7 Å³/f.u. The calculation puts the energy of formation from the pure elements at -0.898 eV/atom.


Computed, not measured: a geometry-optimized Pm2AsPRh6 structure at the PBE level of DFT.

Cell: 5.835 7.349 8.666 Å, 90.00 90.00 90.00°
Fractional coordinates of all 20 atoms:
Pm 0.500 0.729 0.273
Pm 0.000 0.271 0.773
Pm 0.500 0.729 0.727
Pm 0.000 0.271 0.227
As 0.000 0.718 0.500
As 0.500 0.282 0.000
P 0.500 0.231 0.500
P 0.000 0.769 0.000
Rh 0.500 0.132 0.249
Rh 0.500 0.132 0.751
Rh 0.000 0.868 0.251
Rh 0.000 0.868 0.749
Rh 0.232 0.013 0.500
Rh 0.768 0.013 0.500
Rh 0.234 0.446 0.500
Rh 0.766 0.446 0.500
Rh 0.734 0.554 0.000
Rh 0.266 0.554 0.000
Rh 0.268 0.987 0.000
Rh 0.732 0.987 0.000

Computed properties:
As for the electronic total energy: -7.07 eV/atom. As for the symmetry: Pmmn. For the volume, the calculation gives 185.8 Å³/f.u. The calculation puts the energy of formation from the pure elements at -0.701 eV/atom.


Computed, not measured: a geometry-optimized Pm2As3PRh4 structure at the PBE level of DFT.

Cell: 4.269 4.269 9.844 Å, 90.00 90.00 90.00°
Fractional coordinates of all 10 atoms:
Pm 0.500 0.000 0.259
Pm 0.000 0.500 0.741
As 0.000 0.000 0.500
As 0.500 0.000 0.860
As 0.000 0.500 0.140
P 0.500 0.500 0.500
Rh 0.500 0.500 0.000
Rh 0.000 0.000 0.000
Rh 0.500 0.000 0.611
Rh 0.000 0.500 0.389

Computed properties:
As for the electronic total energy: -6.79 eV/atom. As for the symmetry: P-4m2. For the volume, the calculation gives 179.4 Å³/f.u. The calculation puts the energy of formation from the pure elements at -0.967 eV/atom.


Computed, not measured: a geometry-optimized Pm3As2PRh9 structure at the PBE level of DFT.

Cell: 6.640 6.640 7.551 Å, 90.00 90.00 120.00°
Fractional coordinates of all 15 atoms:
Pm 0.333 0.667 0.680
Pm 0.000 0.000 0.000
Pm 0.667 0.333 0.320
As 0.333 0.667 0.201
As 0.667 0.333 0.799
P 0.000 0.000 0.500
Rh 0.856 0.144 0.698
Rh 0.856 0.712 0.698
Rh 0.288 0.144 0.698
Rh 0.712 0.856 0.302
Rh 0.144 0.288 0.302
Rh 0.144 0.856 0.302
Rh 0.500 0.000 0.000
Rh 0.000 0.500 0.000
Rh 0.500 0.500 0.000

Computed properties:
As for the electronic total energy: -6.89 eV/atom. As for the symmetry: P-3m1. For the volume, the calculation gives 288.4 Å³/f.u. The calculation puts the energy of formation from the pure elements at -0.548 eV/atom.


Computed, not measured: a geometry-optimized Pm2AsP3Rh4 structure at the PBE level of DFT.

Cell: 4.173 4.173 9.764 Å, 90.00 90.00 90.00°
Fractional coordinates of all 10 atoms:
Pm 0.500 0.000 0.252
Pm 0.000 0.500 0.748
As 0.500 0.500 0.500
P 0.000 0.000 0.500
P 0.500 0.000 0.864
P 0.000 0.500 0.136
Rh 0.500 0.500 0.000
Rh 0.000 0.000 0.000
Rh 0.500 0.000 0.625
Rh 0.000 0.500 0.375

Computed properties:
As for the electronic total energy: -7.02 eV/atom. As for the symmetry: P-4m2. For the volume, the calculation gives 170.0 Å³/f.u. The calculation puts the energy of formation from the pure elements at -1.040 eV/atom.


Computed, not measured: a geometry-optimized PmAsPRh2 structure at the PBE level of DFT.

Cell: 4.143 6.380 7.438 Å, 90.00 90.00 108.94°
Fractional coordinates of all 10 atoms:
Pm 0.465 0.930 0.750
Pm 0.535 0.070 0.250
As 0.729 0.458 0.750
As 0.271 0.542 0.250
P 0.000 0.000 0.000
P 0.000 0.000 0.500
Rh 0.180 0.361 0.942
Rh 0.820 0.639 0.058
Rh 0.180 0.361 0.558
Rh 0.820 0.639 0.442

Computed properties:
As for the electronic total energy: -6.74 eV/atom. As for the symmetry: Cmcm. For the volume, the calculation gives 93.0 Å³/f.u. The calculation puts the energy of formation from the pure elements at -0.841 eV/atom.